Entry 1:
Below is a relaxed structure of Mg2ZnGaAs, with properties calculated at the PBE-GGA level.

Calculated values
- ΔE_f: 0.186 eV/atom
- Density of states at the Fermi level: 0.5361 states/eV per atom

Geometry as CIF:
```
data_Mg2ZnGaAs
_chemical_formula_sum 'Mg2 Zn1 Ga1 As1'
_cell_length_a 4.994
_cell_length_b 4.994
_cell_length_c 4.967
_cell_angle_alpha 90.00
_cell_angle_beta 90.00
_cell_angle_gamma 90.00
_symmetry_space_group_name_H-M 'P 4/m m m'
_symmetry_Int_Tables_number 123
_symmetry_space_group_name_Hall '-P 4 2'
loop_
_atom_site_label
_atom_site_type_symbol
_atom_site_fract_x
_atom_site_fract_y
_atom_site_fract_z
Mg1 Mg 0.000 0.500 0.000
Zn1 Zn 0.000 0.000 0.500
Ga1 Ga 0.500 0.500 0.500
As1 As 0.000 0.000 0.000
```

Entry 2:
Below is a relaxed structure of YScMn, with properties calculated at the PBE-GGA level.

Calculated values
- Energy above the most stable polymorph in this dataset: 0.04 eV per formula unit
- ΔE_f: 0.128 eV/atom
- Density of states at the Fermi level: 1.6171 states/eV per atom

Geometry as CIF:
```
data_YScMn
_chemical_formula_sum 'Y2 Sc2 Mn2'
_cell_length_a 3.408
_cell_length_b 3.408
_cell_length_c 11.957
_cell_angle_alpha 90.00
_cell_angle_beta 90.00
_cell_angle_gamma 90.00
_symmetry_space_group_name_H-M 'I 4 m m'
_symmetry_Int_Tables_number 107
_symmetry_space_group_name_Hall 'I 4 -2'
loop_
_atom_site_label
_atom_site_type_symbol
_atom_site_fract_x
_atom_site_fract_y
_atom_site_fract_z
Y1 Y 0.000 0.000 0.000
Sc1 Sc 0.000 0.000 0.279
Mn1 Mn 0.000 0.000 0.654
```

Entry 3:
Below is a relaxed structure of PrPuIn4, with properties calculated at the PBE-GGA level.

Calculated values
- Energy above the most stable polymorph in this dataset: 0.28 eV per formula unit
- ΔE_f: -0.263 eV/atom
- Density of states at the Fermi level: 3.3460 states/eV per atom

Geometry as CIF:
```
data_PrPuIn4
_chemical_formula_sum 'Pr4 Pu4 In16'
_cell_length_a 8.605
_cell_length_b 8.605
_cell_length_c 8.605
_cell_angle_alpha 90.00
_cell_angle_beta 90.00
_cell_angle_gamma 90.00
_symmetry_space_group_name_H-M 'F -4 3 m'
_symmetry_Int_Tables_number 216
_symmetry_space_group_name_Hall 'F -4 2 3'
loop_
_atom_site_label
_atom_site_type_symbol
_atom_site_fract_x
_atom_site_fract_y
_atom_site_fract_z
Pr1 Pr 0.000 0.000 0.000
Pu1 Pu 0.250 0.250 0.750
In1 In 0.125 0.125 0.375
```

Entry 4:
Below is a relaxed structure of Cu2Si2W, with properties calculated at the PBE-GGA level.

Calculated values
- Formation energy from raw total energies: 149 meV/atom
- Density of states at the Fermi level: 0.3443 states/eV per atom

Geometry as CIF:
```
data_Cu2Si2W
_chemical_formula_sum 'Cu4 Si4 W2'
_cell_length_a 6.831
_cell_length_b 6.831
_cell_length_c 2.886
_cell_angle_alpha 90.00
_cell_angle_beta 90.00
_cell_angle_gamma 90.00
_symmetry_space_group_name_H-M 'P 4/m b m'
_symmetry_Int_Tables_number 127
_symmetry_space_group_name_Hall '-P 4 2ab'
loop_
_atom_site_label
_atom_site_type_symbol
_atom_site_fract_x
_atom_site_fract_y
_atom_site_fract_z
Cu1 Cu 0.136 0.364 0.000
Si1 Si 0.159 0.659 0.500
W1 W 0.000 0.000 0.500
```

Entry 5:
Below is a relaxed structure of Ba2LaSi, with properties calculated at the PBE-GGA level.

Calculated values
- Formation energy from raw total energies: 75 meV/atom
- Density of states at the Fermi level: 1.0271 states/eV per atom

Geometry as CIF:
```
data_Ba2LaSi
_chemical_formula_sum 'Ba4 La2 Si2'
_cell_length_a 5.128
_cell_length_b 5.128
_cell_length_c 10.417
_cell_angle_alpha 90.00
_cell_angle_beta 90.00
_cell_angle_gamma 90.00
_symmetry_space_group_name_H-M 'I -4 m 2'
_symmetry_Int_Tables_number 119
_symmetry_space_group_name_Hall 'I -4 -2'
loop_
_atom_site_label
_atom_site_type_symbol
_atom_site_fract_x
_atom_site_fract_y
_atom_site_fract_z
Ba1 Ba 0.000 0.000 0.000
Ba2 Ba 0.000 0.500 0.250
La1 La 0.000 0.500 0.750
Si1 Si 0.000 0.000 0.500
```

Entry 6:
Below is a relaxed structure of Ca2RuCl, with properties calculated at the PBE-GGA level.

Calculated values
- Formation energy from raw total energies: -531 meV/atom
- Energy above the most stable polymorph in this dataset: 0.44 eV per formula unit
- Density of states at the Fermi level: 0.8205 states/eV per atom

Geometry as CIF:
```
data_Ca2RuCl
_chemical_formula_sum 'Ca4 Ru2 Cl2'
_cell_length_a 3.404
_cell_length_b 3.576
_cell_length_c 15.727
_cell_angle_alpha 90.00
_cell_angle_beta 90.00
_cell_angle_gamma 90.00
_symmetry_space_group_name_H-M 'I m m 2'
_symmetry_Int_Tables_number 44
_symmetry_space_group_name_Hall 'I 2 -2'
loop_
_atom_site_label
_atom_site_type_symbol
_atom_site_fract_x
_atom_site_fract_y
_atom_site_fract_z
Ca1 Ca 0.000 0.000 0.000
Ca2 Ca 0.000 0.500 0.271
Ru1 Ru 0.000 0.000 0.403
Cl1 Cl 0.000 0.500 0.662
```

Entry 7:
Below is a relaxed structure of ZnInNiH, with properties calculated at the PBE-GGA level.

Calculated values
- Energy above the most stable polymorph in this dataset: 0.27 eV per formula unit
- Density of states at the Fermi level: 0.2754 states/eV per atom

Geometry as CIF:
```
data_ZnInNiH
_chemical_formula_sum 'Zn1 In1 Ni1 H1'
_cell_length_a 2.913
_cell_length_b 3.288
_cell_length_c 5.714
_cell_angle_alpha 90.00
_cell_angle_beta 103.45
_cell_angle_gamma 90.00
_symmetry_space_group_name_H-M 'P 1 m 1'
_symmetry_Int_Tables_number 6
_symmetry_space_group_name_Hall 'P -2y'
loop_
_atom_site_label
_atom_site_type_symbol
_atom_site_fract_x
_atom_site_fract_y
_atom_site_fract_z
Zn1 Zn 0.000 0.000 0.000
In1 In 0.261 0.000 0.540
Ni1 Ni 0.622 0.500 0.241
H1 H 0.570 0.500 0.965
```

Entry 8:
Below is a relaxed structure of Tb3Dy2TmSe6, with properties calculated at the PBE-GGA level.

Calculated values
- Formation energy from raw total energies: -1746 meV/atom
- Density of states at the Fermi level: 0.4640 states/eV per atom

Geometry as CIF:
```
data_Tb3Dy2TmSe6
_chemical_formula_sum 'Tb6 Dy4 Tm2 Se12'
_cell_length_a 17.764
_cell_length_b 4.061
_cell_length_c 8.188
_cell_angle_alpha 90.00
_cell_angle_beta 103.61
_cell_angle_gamma 90.00
_symmetry_space_group_name_H-M 'C 1 2/m 1'
_symmetry_Int_Tables_number 12
_symmetry_space_group_name_Hall '-C 2y'
loop_
_atom_site_label
_atom_site_type_symbol
_atom_site_fract_x
_atom_site_fract_y
_atom_site_fract_z
Tb1 Tb 0.000 0.000 0.000
Tb2 Tb 0.168 0.500 0.333
Dy1 Dy 0.168 0.500 0.835
Tm1 Tm 0.000 0.000 0.500
Se1 Se 0.000 0.500 0.255
Se2 Se 0.164 0.000 0.583
Se3 Se 0.167 0.000 0.082
```

Entry 9:
Below is a relaxed structure of Pm2Ga4CuRh3, with properties calculated at the PBE-GGA level.

Calculated values
- ΔE_f: -0.684 eV/atom
- Density of states at the Fermi level: 0.6145 states/eV per atom

Geometry as CIF:
```
data_Pm2Ga4CuRh3
_chemical_formula_sum 'Pm2 Ga4 Cu1 Rh3'
_cell_length_a 4.249
_cell_length_b 4.249
_cell_length_c 10.290
_cell_angle_alpha 90.00
_cell_angle_beta 90.00
_cell_angle_gamma 90.00
_symmetry_space_group_name_H-M 'P -4 m 2'
_symmetry_Int_Tables_number 115
_symmetry_space_group_name_Hall 'P -4 -2'
loop_
_atom_site_label
_atom_site_type_symbol
_atom_site_fract_x
_atom_site_fract_y
_atom_site_fract_z
Pm1 Pm 0.000 0.500 0.246
Ga1 Ga 0.000 0.000 0.500
Ga2 Ga 0.000 0.500 0.873
Ga3 Ga 0.500 0.500 0.500
Cu1 Cu 0.500 0.500 0.000
Rh1 Rh 0.000 0.000 0.000
Rh2 Rh 0.000 0.500 0.632
```

Entry 10:
Below is a relaxed structure of CoRu2Cl, with properties calculated at the PBE-GGA level.

Calculated values
- Formation energy from raw total energies: 587 meV/atom
- Energy above the most stable polymorph in this dataset: 0.93 eV per formula unit
- Density of states at the Fermi level: 1.6468 states/eV per atom

Geometry as CIF:
```
data_CoRu2Cl
_chemical_formula_sum 'Co1 Ru2 Cl1'
_cell_length_a 2.964
_cell_length_b 2.964
_cell_length_c 6.472
_cell_angle_alpha 90.00
_cell_angle_beta 90.00
_cell_angle_gamma 90.00
_symmetry_space_group_name_H-M 'P 4/m m m'
_symmetry_Int_Tables_number 123
_symmetry_space_group_name_Hall '-P 4 2'
loop_
_atom_site_label
_atom_site_type_symbol
_atom_site_fract_x
_atom_site_fract_y
_atom_site_fract_z
Co1 Co 0.000 0.000 0.000
Ru1 Ru 0.500 0.500 0.205
Cl1 Cl 0.000 0.000 0.500
```

Entry 11:
Below is a relaxed structure of TeOs2Se, with properties calculated at the PBE-GGA level.

Calculated values
- Formation energy from raw total energies: 886 meV/atom
- Energy above the most stable polymorph in this dataset: 2.06 eV per formula unit
- Density of states at the Fermi level: 0.6634 states/eV per atom

Geometry as CIF:
```
data_TeOs2Se
_chemical_formula_sum 'Te1 Os2 Se1'
_cell_length_a 3.244
_cell_length_b 3.244
_cell_length_c 6.476
_cell_angle_alpha 90.00
_cell_angle_beta 90.00
_cell_angle_gamma 90.00
_symmetry_space_group_name_H-M 'P 4/m m m'
_symmetry_Int_Tables_number 123
_symmetry_space_group_name_Hall '-P 4 2'
loop_
_atom_site_label
_atom_site_type_symbol
_atom_site_fract_x
_atom_site_fract_y
_atom_site_fract_z
Te1 Te 0.000 0.000 0.000
Os1 Os 0.500 0.500 0.276
Se1 Se 0.000 0.000 0.500
```

Entry 12:
Below is a relaxed structure of Y2MnW, with properties calculated at the PBE-GGA level.

Calculated values
- Energy above the most stable polymorph in this dataset: 1.23 eV per formula unit
- ΔE_f: 0.535 eV/atom
- Density of states at the Fermi level: 1.2574 states/eV per atom

Geometry as CIF:
```
data_Y2MnW
_chemical_formula_sum 'Y2 Mn1 W1'
_cell_length_a 3.591
_cell_length_b 3.591
_cell_length_c 6.879
_cell_angle_alpha 90.00
_cell_angle_beta 90.00
_cell_angle_gamma 90.00
_symmetry_space_group_name_H-M 'P 4/m m m'
_symmetry_Int_Tables_number 123
_symmetry_space_group_name_Hall '-P 4 2'
loop_
_atom_site_label
_atom_site_type_symbol
_atom_site_fract_x
_atom_site_fract_y
_atom_site_fract_z
Y1 Y 0.000 0.000 0.244
Mn1 Mn 0.500 0.500 0.500
W1 W 0.500 0.500 0.000
```